Record 1
A plane-wave DFT calculation with PBE was carried out for crystalline Si2SbBr at its relaxed geometry.

Unit cell a=3.4944 b=3.4944 c=8.0336 alpha=90.00 beta=90.00 gamma=108.65
Closest atoms and distances in Å follow each position.
Fractional coordinates of all 4 atoms:
1 Si 0.0000 0.0000 0.2368  2 Sb 2.79, 2 Br 2.94
2 Si 0.0000 0.0000 0.7632  2 Sb 2.79, 2 Br 2.94
3 Sb 0.5000 0.5000 0.0000  4 Si 2.79
4 Br 0.5000 0.5000 0.5000  4 Si 2.94

Summary:
V	92.9	Å³/cell
raw total energy	-0.26636	Ry/atom
energy above the most stable polymorph in this dataset	1.969	eV/f.u.
energy relative to the elements, uncorrected	207	kJ/mol of formula units



Record 2
A plane-wave DFT calculation with PBE was carried out for crystalline SiSbBr2 at its relaxed geometry.

Unit cell a=6.2533 b=6.2533 c=5.8375 alpha=101.13 beta=101.13 gamma=38.73
Closest atoms and distances in Å follow each position.
Fractional coordinates of all 4 atoms:
1 Si 0.0000 0.0000 0.0000  1 Br 2.32
2 Sb 0.4370 0.4370 0.7161  1 Br 2.57, 2 Si 2.66
3 Br 0.6133 0.6133 0.5196  1 Sb 2.57
4 Br 0.8341 0.8341 0.1566  1 Si 2.32

Summary:
V	139.8	Å³/cell
raw total energy	-0.24372	Ry/atom
energy above the most stable polymorph in this dataset	0.543	eV/f.u.
energy relative to the elements, uncorrected	-36	kJ/mol of formula units



Record 3
A plane-wave DFT calculation with PBE was carried out for crystalline Si2SbBr at its relaxed geometry.

Unit cell a=5.1467 b=5.1467 c=7.8332 alpha=120.27 beta=120.27 gamma=42.21
Closest atoms and distances in Å follow each position.
Fractional coordinates of all 4 atoms:
1 Si 0.1630 0.1630 0.3874  2 Si 2.48, 1 Br 2.55
2 Si 0.8370 0.8370 0.6126  2 Si 2.48, 1 Br 2.55
3 Sb 0.5000 0.5000 0.5000  6 Si 2.86
4 Br 0.0000 0.0000 0.0000  2 Si 2.55

Summary:
V	117.3	Å³/cell
raw total energy	-0.28595	Ry/atom
energy above the most stable polymorph in this dataset	0.903	eV/f.u.
energy relative to the elements, uncorrected	104	kJ/mol of formula units



Record 4
A plane-wave DFT calculation with PBE was carried out for crystalline Si2SbBr at its relaxed geometry.

Unit cell a=5.2030 b=5.2030 c=3.2736 alpha=90.00 beta=90.00 gamma=90.00
Closest atoms and distances in Å follow each position.
Fractional coordinates of all 4 atoms:
1 Si 0.0000 0.5000 0.0000  4 Sb 3.07, 4 Br 3.07, 2 Si 3.27
2 Si 0.5000 0.0000 0.0000  4 Sb 3.07, 4 Br 3.07, 2 Si 3.27
3 Sb 0.0000 0.0000 0.5000  8 Si 3.07, 2 Sb 3.27
4 Br 0.5000 0.5000 0.5000  8 Si 3.07, 2 Br 3.27

Summary:
V	88.6	Å³/cell
raw total energy	-0.26049	Ry/atom
energy above the most stable polymorph in this dataset	2.289	eV/f.u.
energy relative to the elements, uncorrected	238	kJ/mol of formula units



Record 5
A plane-wave DFT calculation with PBE was carried out for crystalline Si2SbBr at its relaxed geometry.

Unit cell a=4.9757 b=4.9757 c=4.9757 alpha=110.26 beta=110.26 gamma=107.91
Closest atoms and distances in Å follow each position.
Fractional coordinates of all 4 atoms:
1 Si 0.0000 0.5000 0.5000  2 Sb 2.84, 2 Br 2.84, 2 Si 2.93
2 Si 0.5000 0.0000 0.5000  2 Sb 2.84, 2 Br 2.84, 2 Si 2.93
3 Sb 0.0000 0.0000 0.0000  4 Si 2.84, 2 Br 2.93
4 Br 0.5000 0.5000 0.0000  4 Si 2.84, 2 Sb 2.93

Summary:
V	94.8	Å³/cell
raw total energy	-0.26922	Ry/atom
energy above the most stable polymorph in this dataset	1.813	eV/f.u.
energy relative to the elements, uncorrected	192	kJ/mol of formula units



Record 6
A plane-wave DFT calculation with PBE was carried out for crystalline Si2SbBr at its relaxed geometry.

Unit cell a=4.9616 b=4.9616 c=4.9616 alpha=60.00 beta=60.00 gamma=60.00
Closest atoms and distances in Å follow each position.
Fractional coordinates of all 4 atoms:
1 Si 0.2500 0.2500 0.2500  4 Br 3.04, 4 Sb 3.04
2 Si 0.7500 0.7500 0.7500  4 Br 3.04, 4 Sb 3.04
3 Sb 0.0000 0.0000 0.0000  8 Si 3.04
4 Br 0.5000 0.5000 0.5000  8 Si 3.04

Summary:
V	86.4	Å³/cell
raw total energy	-0.26517	Ry/atom
energy above the most stable polymorph in this dataset	2.034	eV/f.u.
energy relative to the elements, uncorrected	213	kJ/mol of formula units